# 1
DFT (PBE) results for CaPr8Nd4 after structural relaxation.

Unit cell a=6.435 b=6.435 c=15.281 alpha=93.93 beta=93.93 gamma=48.37
Element x y z (fractional)
Ca: 0.000 0.000 0.000
Pr: 0.077 0.077 0.767
Pr: 0.232 0.232 0.308
Pr: 0.306 0.306 0.080
Pr: 0.461 0.461 0.615
Pr: 0.539 0.539 0.385
Pr: 0.694 0.694 0.920
Pr: 0.768 0.768 0.692
Pr: 0.923 0.923 0.233
Nd: 0.153 0.153 0.538
Nd: 0.380 0.380 0.842
Nd: 0.620 0.620 0.158
Nd: 0.847 0.847 0.462

Results
DFT formation energy: 0.02 eV per atom
Uncorrected energy: -4.5374 eV/atom
V: 472 Å³ per cell
Space-group type: C2/m (12)
M_tot: 0.00 μB per formula unit

# 2
DFT (PBE) results for LiNdGa2Pd after structural relaxation.

Unit cell a=6.359 b=6.359 c=6.359 alpha=141.84 beta=141.84 gamma=55.06
Element x y z (fractional)
Li: 0.000 0.000 0.000
Nd: 0.750 0.250 0.500
Ga: 0.134 0.634 0.500
Ga: 0.366 0.866 0.500
Pd: 0.500 0.500 0.000

Results
DFT formation energy: -0.59 eV per atom
Uncorrected energy: -4.1737 eV/atom
V: 97 Å³ per cell
Space-group type: I-4m2 (119)
M_tot: 0.00 μB per formula unit

# 3
DFT (PBE) results for Cd2AsPt after structural relaxation.

Unit cell a=3.113 b=3.983 c=6.162 alpha=90.00 beta=90.00 gamma=90.00
Element x y z (fractional)
Cd: 0.000 0.000 0.236
Cd: 0.000 0.000 0.764
As: 0.500 0.500 0.500
Pt: 0.500 0.500 0.000

Results
DFT formation energy: -0.04 eV per atom
Uncorrected energy: -3.1739 eV/atom
V: 76 Å³ per cell
Space-group type: Pmmm (47)
M_tot: 0.00 μB per formula unit

# 4
DFT (PBE) results for Tb5Er2Tm2 after structural relaxation.

Unit cell a=8.586 b=8.586 c=6.295 alpha=104.68 beta=104.68 gamma=39.05
Element x y z (fractional)
Tb: 0.000 0.000 0.000
Tb: 0.210 0.210 0.068
Tb: 0.324 0.324 0.642
Tb: 0.676 0.676 0.358
Tb: 0.790 0.790 0.932
Er: 0.439 0.439 0.218
Er: 0.561 0.561 0.782
Tm: 0.102 0.102 0.524
Tm: 0.898 0.898 0.476

Results
DFT formation energy: 0.12 eV per atom
Uncorrected energy: -4.4582 eV/atom
V: 282 Å³ per cell
Space-group type: C2/m (12)
Offset from the most stable computed form: 0 meV/atom
M_tot: 0.00 μB per formula unit

# 5
DFT (PBE) results for V4Ga2As after structural relaxation.

Unit cell a=7.307 b=7.307 c=7.307 alpha=144.51 beta=144.51 gamma=51.06
Element x y z (fractional)
V: 0.000 0.500 0.500
V: 0.184 0.184 0.000
V: 0.500 0.000 0.500
V: 0.816 0.816 0.000
Ga: 0.378 0.378 0.000
Ga: 0.622 0.622 0.000
As: 0.000 0.000 0.000

Results
DFT formation energy: 0.53 eV per atom
Uncorrected energy: -6.2075 eV/atom
V: 131 Å³ per cell
Space-group type: I4/mmm (139)
M_tot: 7.07 μB per formula unit

# 6
DFT (PBE) results for LaVW2 after structural relaxation.

Unit cell a=9.185 b=9.185 c=9.185 alpha=148.78 beta=148.78 gamma=44.74
Element x y z (fractional)
La: 0.375 0.625 0.750
La: 0.625 0.375 0.250
V: 0.125 0.875 0.250
V: 0.875 0.125 0.750
W: 0.000 0.000 0.000
W: 0.000 0.000 0.500
W: 0.000 0.500 0.000
W: 0.500 0.000 0.500

Results
DFT formation energy: 1.22 eV per atom
Uncorrected energy: -8.7640 eV/atom
V: 208 Å³ per cell
Space-group type: I4_1/amd (141)
Offset from the most stable computed form: 487 meV/atom
M_tot: 0.00 μB per formula unit

# 7
DFT (PBE) results for Ac8HIr3Se4 after structural relaxation.

Unit cell a=9.142 b=9.142 c=9.142 alpha=56.07 beta=56.07 gamma=56.07
Element x y z (fractional)
Ac: 0.235 0.744 0.744
Ac: 0.241 0.241 0.241
Ac: 0.256 0.256 0.765
Ac: 0.256 0.765 0.256
Ac: 0.744 0.235 0.744
Ac: 0.744 0.744 0.235
Ac: 0.759 0.759 0.759
Ac: 0.765 0.256 0.256
H: 0.500 0.500 0.500
Ir: 0.000 0.000 0.500
Ir: 0.000 0.500 0.000
Ir: 0.500 0.000 0.000
Se: 0.000 0.000 0.000
Se: 0.000 0.500 0.500
Se: 0.500 0.000 0.500
Se: 0.500 0.500 0.000

Results
Uncorrected energy: -6.0188 eV/atom
V: 491 Å³ per cell
Space-group type: R-3m (166)
M_tot: 0.00 μB per formula unit

# 8
DFT (PBE) results for DyTi2Ir3 after structural relaxation.

Unit cell a=3.065 b=3.065 c=10.642 alpha=90.00 beta=90.00 gamma=90.00
Element x y z (fractional)
Dy: 0.000 0.000 0.000
Ti: 0.000 0.000 0.344
Ti: 0.000 0.000 0.656
Ir: 0.500 0.500 0.206
Ir: 0.500 0.500 0.500
Ir: 0.500 0.500 0.794

Results
DFT formation energy: -0.83 eV per atom
Uncorrected energy: -8.6574 eV/atom
V: 100 Å³ per cell
Space-group type: P4/mmm (123)
M_tot: 0.00 μB per formula unit

# 9
DFT (PBE) results for K3NaBi after structural relaxation.

Unit cell a=6.897 b=6.897 c=6.897 alpha=90.00 beta=90.00 gamma=90.00
Element x y z (fractional)
K: 0.000 0.000 0.500
K: 0.000 0.500 0.000
K: 0.500 0.000 0.000
Na: 0.500 0.500 0.500
Bi: 0.000 0.000 0.000

Results
DFT formation energy: -0.08 eV per atom
Uncorrected energy: -1.7823 eV/atom
V: 328 Å³ per cell
Space-group type: Pm-3m (221)
Offset from the most stable computed form: 76 meV/atom
M_tot: 0.95 μB per formula unit

# 10
DFT (PBE) results for AgPt2Au after structural relaxation.

Unit cell a=2.821 b=4.089 c=5.789 alpha=90.00 beta=90.40 gamma=90.00
Element x y z (fractional)
Ag: 0.000 0.000 0.000
Pt: 0.499 0.500 0.740
Pt: 0.999 0.000 0.512
Au: 0.501 0.500 0.251

Results
DFT formation energy: 0.03 eV per atom
Uncorrected energy: -4.5194 eV/atom
V: 67 Å³ per cell
Space-group type: Pm (6)
Offset from the most stable computed form: 67 meV/atom
M_tot: 0.00 μB per formula unit

# 11
DFT (PBE) results for NpReB2 after structural relaxation.

Unit cell a=6.173 b=6.173 c=6.173 alpha=29.82 beta=29.82 gamma=29.82
Element x y z (fractional)
Np: 0.000 0.000 0.000
Re: 0.500 0.500 0.500
B: 0.236 0.236 0.236
B: 0.764 0.764 0.764

Results
DFT formation energy: 0.01 eV per atom
Uncorrected energy: -9.6726 eV/atom
V: 52 Å³ per cell
Space-group type: R-3m (166)
Offset from the most stable computed form: 335 meV/atom
M_tot: 2.63 μB per formula unit

# 12
DFT (PBE) results for ReTeN2 after structural relaxation.

Unit cell a=6.884 b=6.884 c=6.884 alpha=26.42 beta=26.42 gamma=26.42
Element x y z (fractional)
Re: 0.000 0.000 0.000
Te: 0.500 0.500 0.500
N: 0.097 0.097 0.097
N: 0.903 0.903 0.903

Results
Uncorrected energy: -6.8953 eV/atom
V: 57 Å³ per cell
Space-group type: R-3m (166)
M_tot: 0.00 μB per formula unit